Entry 1:
# CdCoSi2

Crystalline CdCoSi2 at its relaxed geometry (PBE-GGA, Alexandria).

The value obtained for the magnetic moment is 0.00 μB per formula unit. The uncorrected formation energy is 0.124 eV/atom. For the volume, the calculation gives 15.3 Å³ per atom.

It has space group Pmm2 (No. 25), with a = 2.777 Å, b = 3.274 Å, c = 6.745 Å, α = 90.00°, β = 90.00° and γ = 90.00°. The distinct sites, in fractional coordinates, are Cd at (0.000, 0.000, 0.000), Co at (0.500, 0.500, 0.294), Si at (0.000, 0.000, 0.431) and Si at (0.500, 0.500, 0.655).

Entry 2:
# CdCoSi2

Crystalline CdCoSi2 at its relaxed geometry (PBE-GGA, Alexandria).

The value obtained for the magnetic moment is 0.26 μB per formula unit. The uncorrected formation energy is 0.479 eV/atom. For the volume, the calculation gives 15.2 Å³ per atom.

It has space group C2/m (No. 12), with a = 5.323 Å, b = 8.917 Å, c = 3.000 Å, α = 90.00°, β = 121.25° and γ = 90.00°. The distinct sites, in fractional coordinates, are Cd at (0.000, 0.000, 0.000), Co at (0.000, 0.500, 0.000) and Si at (0.250, 0.250, 0.000).

Entry 3:
# Cd2CoSi

Crystalline Cd2CoSi at its relaxed geometry (PBE-GGA, Alexandria).

The value obtained for the magnetic moment is 0.54 μB per formula unit. The uncorrected formation energy is 0.105 eV/atom. For the volume, the calculation gives 17.2 Å³ per atom.

It has space group R3m (No. 160, hexagonal axes), with a = 2.9837 Å, b = 2.9837 Å, c = 26.7398 Å, α = 90.00°, β = 90.00° and γ = 120.00°. The distinct sites, in fractional coordinates, are Cd at (0.0000, 0.0000, 0.0000), Cd at (0.0000, 0.0000, 0.2295), Co at (0.0000, 0.0000, 0.4817) and Si at (0.0000, 0.0000, 0.7599).

Entry 4:
# CdCoSi

Crystalline CdCoSi at its relaxed geometry (PBE-GGA, Alexandria).

The value obtained for the magnetic moment is 0.38 μB per formula unit. The uncorrected formation energy is 0.131 eV/atom. For the volume, the calculation gives 15.4 Å³ per atom.

It has space group P3m1 (No. 156), with a = 2.9002 Å, b = 2.9002 Å, c = 6.3337 Å, α = 90.00°, β = 90.00° and γ = 120.00°. The distinct sites, in fractional coordinates, are Cd at (0.0000, 0.0000, 0.0000), Co at (0.3333, 0.6667, 0.3507) and Si at (0.6667, 0.3333, 0.5939).

Entry 5:
# CdCoSi3

Crystalline CdCoSi3 at its relaxed geometry (PBE-GGA, Alexandria).

The value obtained for the magnetic moment is 0.00 μB per formula unit. The uncorrected formation energy is 0.340 eV/atom. For the volume, the calculation gives 17.7 Å³ per atom.

It has space group Pm-3m (No. 221), with a = 4.452 Å, b = 4.452 Å, c = 4.452 Å, α = 90.00°, β = 90.00° and γ = 90.00°. The distinct sites, in fractional coordinates, are Cd at (0.000, 0.000, 0.000), Co at (0.500, 0.500, 0.500) and Si at (0.000, 0.500, 0.500).

Entry 6:
# CdCoSi4

Crystalline CdCoSi4 at its relaxed geometry (PBE-GGA, Alexandria).

The value obtained for the magnetic moment is 0.99 μB per formula unit. The uncorrected formation energy is 0.594 eV/atom. For the volume, the calculation gives 15.5 Å³ per atom.

It has space group F-43m (No. 216), with a = 7.194 Å, b = 7.194 Å, c = 7.194 Å, α = 90.00°, β = 90.00° and γ = 90.00°. The distinct sites, in fractional coordinates, are Cd at (0.000, 0.000, 0.000), Co at (0.250, 0.250, 0.750) and Si at (0.124, 0.124, 0.376).

Entry 7:
# CdCoSi2

Crystalline CdCoSi2 at its relaxed geometry (PBE-GGA, Alexandria).

The value obtained for the magnetic moment is 0.00 μB per formula unit. The uncorrected formation energy is 0.233 eV/atom. For the volume, the calculation gives 17.4 Å³ per atom.

It has space group I-42d (No. 122), with a = 4.260 Å, b = 4.260 Å, c = 15.329 Å, α = 90.00°, β = 90.00° and γ = 90.00°. The distinct sites, in fractional coordinates, are Cd at (0.000, 0.000, 0.000), Co at (0.000, 0.000, 0.500) and Si at (0.143, 0.250, 0.625).

Entry 8:
# Cd3CoSi

Crystalline Cd3CoSi at its relaxed geometry (PBE-GGA, Alexandria).

The value obtained for the magnetic moment is 1.11 μB per formula unit. The uncorrected formation energy is 0.772 eV/atom. For the volume, the calculation gives 23.8 Å³ per atom.

It has space group Pm-3m (No. 221), with a = 4.916 Å, b = 4.916 Å, c = 4.916 Å, α = 90.00°, β = 90.00° and γ = 90.00°. The distinct sites, in fractional coordinates, are Cd at (0.000, 0.000, 0.500), Co at (0.000, 0.000, 0.000) and Si at (0.500, 0.500, 0.500).

Entry 9:
# Cd2CoSi

Crystalline Cd2CoSi at its relaxed geometry (PBE-GGA, Alexandria).

The value obtained for the magnetic moment is 0.00 μB per formula unit. The uncorrected formation energy is 0.035 eV/atom. For the volume, the calculation gives 16.6 Å³ per atom.

It has space group P4mm (No. 99), with a = 3.056 Å, b = 3.056 Å, c = 7.119 Å, α = 90.00°, β = 90.00° and γ = 90.00°. The distinct sites, in fractional coordinates, are Cd at (0.000, 0.000, 0.000), Cd at (0.500, 0.500, 0.314), Co at (0.000, 0.000, 0.592) and Si at (0.500, 0.500, 0.708).

Entry 10:
# Cd2CoSi

Crystalline Cd2CoSi at its relaxed geometry (PBE-GGA, Alexandria).

The value obtained for the magnetic moment is 0.25 μB per formula unit. The uncorrected formation energy is 0.458 eV/atom. For the volume, the calculation gives 16.6 Å³ per atom.

It has space group F-43m (No. 216), with a = 6.426 Å, b = 6.426 Å, c = 6.426 Å, α = 90.00°, β = 90.00° and γ = 90.00°. The distinct sites, in fractional coordinates, are Cd at (0.000, 0.000, 0.000), Cd at (0.250, 0.250, 0.250), Co at (0.250, 0.250, 0.750) and Si at (0.000, 0.000, 0.500).

Entry 11:
# CdCoSi

Crystalline CdCoSi at its relaxed geometry (PBE-GGA, Alexandria).

The value obtained for the magnetic moment is 0.01 μB per formula unit. The uncorrected formation energy is 0.196 eV/atom. For the volume, the calculation gives 16.3 Å³ per atom.

It has space group F-43m (No. 216), with a = 5.809 Å, b = 5.809 Å, c = 5.809 Å, α = 90.00°, β = 90.00° and γ = 90.00°. The distinct sites, in fractional coordinates, are Cd at (0.000, 0.000, 0.000), Co at (0.250, 0.250, 0.250) and Si at (0.000, 0.000, 0.500).

Entry 12:
# Cd2CoSi

Crystalline Cd2CoSi at its relaxed geometry (PBE-GGA, Alexandria).

The value obtained for the magnetic moment is 0.84 μB per formula unit. The uncorrected formation energy is 0.394 eV/atom. For the volume, the calculation gives 16.5 Å³ per atom.

It has space group P4/mmm (No. 123), with a = 4.007 Å, b = 4.007 Å, c = 4.118 Å, α = 90.00°, β = 90.00° and γ = 90.00°. The distinct sites, in fractional coordinates, are Cd at (0.000, 0.500, 0.000), Co at (0.000, 0.000, 0.500) and Si at (0.500, 0.500, 0.500).

Entry 13:
# Cd2CoSi

Crystalline Cd2CoSi at its relaxed geometry (PBE-GGA, Alexandria).

The value obtained for the magnetic moment is 0.00 μB per formula unit. The uncorrected formation energy is 0.159 eV/atom. For the volume, the calculation gives 18.2 Å³ per atom.

It has space group Imm2 (No. 44), with a = 2.857 Å, b = 4.547 Å, c = 11.177 Å, α = 90.00°, β = 90.00° and γ = 90.00°. The distinct sites, in fractional coordinates, are Cd at (0.000, 0.000, 0.000), Cd at (0.000, 0.500, 0.192), Co at (0.000, 0.500, 0.715) and Si at (0.000, 0.000, 0.369).

Entry 14:
# Cd2CoSi

Crystalline Cd2CoSi at its relaxed geometry (PBE-GGA, Alexandria).

The value obtained for the magnetic moment is 0.23 μB per formula unit. The uncorrected formation energy is -0.068 eV/atom. For the volume, the calculation gives 17.6 Å³ per atom.

It has space group Immm (No. 71), with a = 2.740 Å, b = 3.711 Å, c = 13.854 Å, α = 90.00°, β = 90.00° and γ = 90.00°. The distinct sites, in fractional coordinates, are Cd at (0.000, 0.000, 0.176), Co at (0.000, 0.500, 0.500) and Si at (0.000, 0.500, 0.000).

Entry 15:
# CdCoSi2

Crystalline CdCoSi2 at its relaxed geometry (PBE-GGA, Alexandria).

The value obtained for the magnetic moment is 0.00 μB per formula unit. The uncorrected formation energy is 0.068 eV/atom. For the volume, the calculation gives 18.1 Å³ per atom.

It has space group C2/m (No. 12), with a = 6.648 Å, b = 3.821 Å, c = 5.732 Å, α = 90.00°, β = 94.33° and γ = 90.00°. The distinct sites, in fractional coordinates, are Cd at (0.000, 0.000, 0.000), Co at (0.000, 0.500, 0.500) and Si at (0.176, 0.000, 0.606).

Entry 16:
# Cd2CoSi

Crystalline Cd2CoSi at its relaxed geometry (PBE-GGA, Alexandria).

The value obtained for the magnetic moment is 1.07 μB per formula unit. The uncorrected formation energy is 0.393 eV/atom. For the volume, the calculation gives 17.0 Å³ per atom.

It has space group Pmmm (No. 47), with a = 3.364 Å, b = 3.746 Å, c = 5.409 Å, α = 90.00°, β = 90.00° and γ = 90.00°. The distinct sites, in fractional coordinates, are Cd at (0.000, 0.000, 0.244), Co at (0.500, 0.500, 0.000) and Si at (0.500, 0.500, 0.500).

Entry 17:
# CdCoSi2

Crystalline CdCoSi2 at its relaxed geometry (PBE-GGA, Alexandria).

The value obtained for the magnetic moment is 0.00 μB per formula unit. The uncorrected formation energy is 0.067 eV/atom. For the volume, the calculation gives 15.1 Å³ per atom.

It has space group R-3m (No. 166, hexagonal axes), with a = 2.9452 Å, b = 2.9452 Å, c = 24.1142 Å, α = 90.00°, β = 90.00° and γ = 120.00°. The distinct sites, in fractional coordinates, are Cd at (0.0000, 0.0000, 0.0000), Co at (0.0000, 0.0000, 0.5000) and Si at (0.0000, 0.0000, 0.2332).

Entry 18:
# Cd2CoSi

Crystalline Cd2CoSi at its relaxed geometry (PBE-GGA, Alexandria).

The value obtained for the magnetic moment is 0.00 μB per formula unit. The uncorrected formation energy is 0.226 eV/atom. For the volume, the calculation gives 26.1 Å³ per atom.

It has space group I4_1/amd (No. 141, origin choice 2), with a = 9.895 Å, b = 9.895 Å, c = 4.267 Å, α = 90.00°, β = 90.00° and γ = 90.00°. The distinct sites, in fractional coordinates, are Cd at (0.000, 0.000, 0.000), Co at (0.000, 0.250, 0.875) and Si at (0.000, 0.250, 0.375).

Entry 19:
# CdCoSi2

Crystalline CdCoSi2 at its relaxed geometry (PBE-GGA, Alexandria).

The value obtained for the magnetic moment is 0.00 μB per formula unit. The uncorrected formation energy is 0.147 eV/atom. For the volume, the calculation gives 16.1 Å³ per atom.

It has space group Pm (No. 6), with a = 3.510 Å, b = 3.712 Å, c = 4.938 Å, α = 90.00°, β = 90.15° and γ = 90.00°. The distinct sites, in fractional coordinates, are Cd at (0.000, 0.000, 0.000), Co at (0.499, 0.500, 0.732), Si at (0.499, 0.000, 0.478) and Si at (0.999, 0.500, 0.444).

Entry 20:
# SrCdCoSi2

Crystalline SrCdCoSi2 at its relaxed geometry (PBE-GGA, Alexandria).

The value obtained for the magnetic moment is 1.77 μB per formula unit. The uncorrected formation energy is 0.791 eV/atom. For the volume, the calculation gives 25.2 Å³ per atom.

It has space group P4/mmm (No. 123), with a = 5.056 Å, b = 5.056 Å, c = 4.935 Å, α = 90.00°, β = 90.00° and γ = 90.00°. The distinct sites, in fractional coordinates, are Sr at (0.000, 0.000, 0.000), Cd at (0.500, 0.500, 0.500), Co at (0.500, 0.500, 0.000) and Si at (0.000, 0.500, 0.500).